Entry 1:
{
  "formula": "CdTcRh2",
  "functional": "GGA-PBEsol",
  "state": "relaxed",
  "delta_e_f_ev_per_atom": 0.410,
  "lattice_angstrom": [[-2.471, -2.132, -2.924], [-1.689, -3.917, 1.001], [-4.310, -0.421, 0.666]],
  "species": ["Cd", "Rh", "Rh", "Tc"],
  "fractional_positions": [[0.500, 0.500, 0.500], [0.000, 0.000, 0.000], [0.750, 0.750, 0.750], [0.250, 0.250, 0.250]]
}

---

Entry 2:
{
  "formula": "LiSb4Br",
  "functional": "GGA-PBEsol",
  "state": "relaxed",
  "formation_energy_uncorrected_mev_per_atom": -43,
  "lattice_angstrom": [[-5.029, 0.730, 3.705], [-4.172, -4.668, 0.594], [-0.410, -3.182, 5.409]],
  "species": ["Br", "Li", "Sb", "Sb", "Sb", "Sb"],
  "fractional_positions": [[0.750, 0.750, 0.750], [0.000, 0.000, 0.000], [0.385, 0.385, 0.385], [0.385, 0.385, 0.846], [0.846, 0.385, 0.385], [0.385, 0.846, 0.385]]
}

---

Entry 3:
{
  "formula": "SmHoZn2",
  "functional": "GGA-PBEsol",
  "state": "relaxed",
  "delta_e_f_ev_per_atom": -0.325,
  "lattice_angstrom": [[4.986, 0.000, 0.000], [2.493, 4.318, 0.000], [2.493, 1.439, 4.071]],
  "species": ["Zn", "Zn", "Ho", "Sm"],
  "fractional_positions": [[0.250, 0.250, 0.250], [0.750, 0.750, 0.750], [0.500, 0.500, 0.500], [0.000, 0.000, 0.000]]
}

---

Entry 4:
{
  "formula": "ZnSbCl2",
  "functional": "GGA-PBEsol",
  "state": "relaxed",
  "formation_energy_uncorrected_mev_per_atom": -500,
  "lattice_angstrom": [[3.284, 0.000, 0.000], [0.000, 5.258, -0.050], [0.000, -0.933, 5.393]],
  "species": ["Sb", "Zn", "Cl", "Cl"],
  "fractional_positions": [[0.000, 0.724, 0.471], [0.500, 0.390, 0.158], [0.000, 0.009, 0.131], [0.500, 0.377, 0.740]]
}

---

Entry 5:
{
  "formula": "MnRh3",
  "functional": "GGA-PBEsol",
  "state": "relaxed",
  "delta_e_f_ev_per_atom": -0.012,
  "lattice_angstrom": [[2.630, 0.000, 0.000], [0.000, 2.630, 0.000], [0.000, 0.000, 7.377]],
  "species": ["Mn", "Rh", "Rh", "Rh"],
  "fractional_positions": [[0.000, 0.000, 0.000], [0.000, 0.000, 0.500], [0.500, 0.500, 0.236], [0.500, 0.500, 0.764]]
}

---

Entry 6:
{
  "formula": "InPtCl2",
  "functional": "GGA-PBEsol",
  "state": "relaxed",
  "formation_energy_uncorrected_mev_per_atom": -236,
  "e_above_lowest_polymorph_ev_per_atom": 0.000,
  "lattice_angstrom": [[3.239, 0.000, 0.000], [1.619, 5.430, 0.142], [1.619, 1.504, 5.219]],
  "species": ["Cl", "Cl", "Pt", "In"],
  "fractional_positions": [[0.953, 0.047, 0.047], [0.792, 0.708, 0.708], [0.243, 0.257, 0.257], [0.512, 0.488, 0.488]]
}

---

Entry 7:
{
  "formula": "Cr2ReP",
  "functional": "GGA-PBEsol",
  "state": "relaxed",
  "delta_e_f_ev_per_atom": 0.020,
  "lattice_angstrom": [[2.942, 0.000, 0.000], [0.000, 4.036, 0.000], [0.000, 0.000, 4.036]],
  "species": ["Cr", "Cr", "P", "Re"],
  "fractional_positions": [[0.000, 0.000, 0.500], [0.000, 0.500, 0.000], [0.500, 0.500, 0.500], [0.500, 0.000, 0.000]]
}

---

Entry 8:
{
  "formula": "La2ZrAs",
  "functional": "GGA-PBEsol",
  "state": "relaxed",
  "delta_e_f_ev_per_atom": -0.351,
  "lattice_angstrom": [[-3.602, 1.352, 0.977], [-1.240, -0.417, -3.996], [0.667, -5.949, 2.626]],
  "species": ["As", "Zr", "La", "La"],
  "fractional_positions": [[0.000, 0.500, 0.000], [0.500, 0.000, 0.000], [0.709, 0.709, 0.417], [0.291, 0.291, 0.583]]
}

---

Entry 9:
{
  "formula": "RbTe3Mo",
  "functional": "GGA-PBEsol",
  "state": "relaxed",
  "formation_energy_uncorrected_mev_per_atom": 1880,
  "lattice_angstrom": [[-3.696, -2.711, 3.764], [0.062, -4.841, -3.426], [4.638, -2.096, 3.045]],
  "species": ["Mo", "Te", "Te", "Te", "Rb"],
  "fractional_positions": [[0.500, 0.500, 0.500], [0.000, 0.500, 0.000], [0.000, 0.000, 0.500], [0.500, 0.000, 0.000], [0.000, 0.000, 0.000]]
}

---

Entry 10:
{
  "formula": "KRuPt2",
  "functional": "GGA-PBEsol",
  "state": "relaxed",
  "delta_e_f_ev_per_atom": 0.475,
  "e_above_lowest_polymorph_ev_per_atom": 0.000,
  "lattice_angstrom": [[2.708, 0.000, 0.000], [-1.354, 4.497, 0.009], [0.000, -0.702, 6.387]],
  "species": ["K", "Pt", "Pt", "Ru"],
  "fractional_positions": [[0.749, 0.497, 0.243], [0.985, 0.971, 0.936], [0.251, 0.502, 0.720], [0.515, 0.030, 0.601]]
}

---

Entry 11:
{
  "formula": "CuIr2Pt",
  "functional": "GGA-PBEsol",
  "state": "relaxed",
  "delta_e_f_ev_per_atom": 0.024,
  "e_above_lowest_polymorph_ev_per_atom": 0.003,
  "lattice_angstrom": [[-2.305, 1.050, 0.974], [0.200, -1.592, 2.189], [3.891, 5.297, 3.497]],
  "species": ["Ir", "Ir", "Pt", "Cu"],
  "fractional_positions": [[0.000, 0.000, 0.998], [0.500, 0.500, 0.241], [0.000, 0.000, 0.507], [0.500, 0.500, 0.753]]
}

---

Entry 12:
{
  "formula": "Ca2TlSe",
  "functional": "GGA-PBEsol",
  "state": "relaxed",
  "formation_energy_uncorrected_mev_per_atom": -764,
  "e_above_lowest_polymorph_ev_per_atom": 0.220,
  "lattice_angstrom": [[-2.149, 3.184, -3.629], [1.540, -0.325, -5.045], [-3.279, -1.978, -3.641]],
  "species": ["Tl", "Ca", "Ca", "Se"],
  "fractional_positions": [[0.500, 0.500, 0.500], [0.250, 0.250, 0.250], [0.750, 0.750, 0.750], [0.000, 0.000, 0.000]]
}

---

Entry 13:
{
  "formula": "CdFe2HgTe",
  "functional": "GGA-PBEsol",
  "state": "relaxed",
  "formation_energy_uncorrected_mev_per_atom": 1029,
  "lattice_angstrom": [[4.708, 0.000, 0.000], [0.000, 4.708, 0.000], [0.000, 0.000, 5.548]],
  "species": ["Fe", "Fe", "Te", "Hg", "Cd"],
  "fractional_positions": [[0.000, 0.500, 0.000], [0.500, 0.000, 0.000], [0.000, 0.000, 0.000], [0.500, 0.500, 0.500], [0.000, 0.000, 0.500]]
}

---

Entry 14:
{
  "formula": "La2AlNi",
  "functional": "GGA-PBEsol",
  "state": "relaxed",
  "delta_e_f_ev_per_atom": -0.154,
  "lattice_angstrom": [[-3.640, 1.275, 1.111], [-1.974, -4.010, -1.864], [0.517, -2.237, 4.263]],
  "species": ["Ni", "Al", "La", "La"],
  "fractional_positions": [[0.500, 0.500, 0.500], [0.500, 0.000, 0.000], [0.000, 0.500, 0.000], [0.000, 0.000, 0.500]]
}

---

Entry 15:
{
  "formula": "OsRuCl",
  "functional": "GGA-PBEsol",
  "state": "relaxed",
  "formation_energy_uncorrected_mev_per_atom": 451,
  "e_above_lowest_polymorph_ev_per_atom": 0.000,
  "lattice_angstrom": [[2.825, 0.000, 0.000], [-1.412, 2.446, 0.000], [0.000, 0.000, 6.161]],
  "species": ["Ru", "Os", "Cl"],
  "fractional_positions": [[0.667, 0.333, 0.338], [0.333, 0.667, 0.655], [0.000, 0.000, 0.007]]
}

---

Entry 16:
{
  "formula": "SnHgPbBr2",
  "functional": "GGA-PBEsol",
  "state": "relaxed",
  "formation_energy_uncorrected_mev_per_atom": -13,
  "lattice_angstrom": [[-1.409, 4.901, -2.052], [-0.378, -2.232, -5.072], [-5.356, -1.159, 0.909]],
  "species": ["Pb", "Hg", "Br", "Br", "Sn"],
  "fractional_positions": [[0.500, 0.500, 0.500], [0.500, 0.000, 0.000], [0.000, 0.000, 0.500], [0.000, 0.500, 0.000], [0.000, 0.000, 0.000]]
}

---

Entry 17:
{
  "formula": "TiCoGe2",
  "functional": "GGA-PBEsol",
  "state": "relaxed",
  "delta_e_f_ev_per_atom": -0.563,
  "lattice_angstrom": [[-7.549, -0.946, 0.833], [1.418, -7.346, 4.498], [0.273, 5.145, 8.317]],
  "species": ["Ge", "Ge", "Ge", "Ge", "Ge", "Ge", "Ge", "Ge", "Ge", "Ge", "Ge", "Ge", "Ge", "Ge", "Ge", "Ge", "Ge", "Ge", "Ge", "Ge", "Ge", "Ge", "Ge", "Ge", "Co", "Co", "Co", "Co", "Co", "Co", "Co", "Co", "Co", "Co", "Co", "Co", "Ti", "Ti", "Ti", "Ti", "Ti", "Ti", "Ti", "Ti", "Ti", "Ti", "Ti", "Ti"],
  "fractional_positions": [[0.500, 0.543, 0.121], [0.500, 0.457, 0.879], [0.500, 0.043, 0.379], [0.500, 0.957, 0.621], [0.000, 0.041, 0.379], [0.000, 0.959, 0.621], [0.000, 0.541, 0.121], [0.000, 0.459, 0.879], [0.500, 0.137, 0.093], [0.500, 0.863, 0.907], [0.500, 0.637, 0.407], [0.500, 0.363, 0.593], [0.662, 0.340, 0.317], [0.662, 0.660, 0.683], [0.338, 0.840, 0.183], [0.338, 0.160, 0.817], [0.338, 0.660, 0.683], [0.338, 0.340, 0.317], [0.662, 0.160, 0.817], [0.662, 0.840, 0.183], [0.000, 0.369, 0.599], [0.000, 0.631, 0.401], [0.000, 0.869, 0.901], [0.000, 0.131, 0.099], [0.754, 0.000, 0.000], [0.246, 0.500, 0.500], [0.246, 0.000, 0.000], [0.754, 0.500, 0.500], [0.249, 0.094, 0.249], [0.249, 0.906, 0.751], [0.751, 0.594, 0.251], [0.751, 0.406, 0.749], [0.751, 0.906, 0.751], [0.751, 0.094, 0.249], [0.249, 0.406, 0.749], [0.249, 0.594, 0.251], [0.000, 0.334, 0.318], [0.000, 0.666, 0.682], [0.000, 0.834, 0.182], [0.000, 0.166, 0.818], [0.238, 0.668, 0.954], [0.238, 0.332, 0.046], [0.762, 0.168, 0.546], [0.762, 0.832, 0.454], [0.762, 0.332, 0.046], [0.762, 0.668, 0.954], [0.238, 0.832, 0.454], [0.238, 0.168, 0.546]]
}

---

Entry 18:
{
  "formula": "Mg2SbCl",
  "functional": "GGA-PBEsol",
  "state": "relaxed",
  "formation_energy_uncorrected_mev_per_atom": -486,
  "e_above_lowest_polymorph_ev_per_atom": 0.297,
  "lattice_angstrom": [[3.157, 0.000, 0.000], [0.000, 5.644, 0.000], [-1.578, -2.822, 5.238]],
  "species": ["Cl", "Mg", "Mg", "Sb"],
  "fractional_positions": [[0.291, 0.791, 0.582], [0.976, 0.976, 0.953], [0.743, 0.243, 0.486], [0.490, 0.490, 0.980]]
}

---

Entry 19:
{
  "formula": "AgHgIr2",
  "functional": "GGA-PBEsol",
  "state": "relaxed",
  "delta_e_f_ev_per_atom": 0.441,
  "lattice_angstrom": [[2.771, 0.001, 0.000], [-0.029, 4.784, 0.000], [0.000, 0.000, 4.829]],
  "species": ["Ir", "Ir", "Hg", "Ag"],
  "fractional_positions": [[0.254, 0.257, 0.000], [0.746, 0.743, 0.000], [0.500, 0.000, 0.500], [0.000, 0.500, 0.500]]
}

---

Entry 20:
{
  "formula": "Rb2LaZrC",
  "functional": "GGA-PBEsol",
  "state": "relaxed",
  "delta_e_f_ev_per_atom": 1.350,
  "lattice_angstrom": [[-1.076, -1.925, -3.842], [-5.463, -2.277, 2.670], [-3.135, 5.386, -1.821]],
  "species": ["C", "Rb", "Rb", "Zr", "La"],
  "fractional_positions": [[0.000, 0.000, 0.000], [0.000, 0.000, 0.500], [0.000, 0.500, 0.000], [0.500, 0.500, 0.500], [0.500, 0.000, 0.000]]
}

---

| no. | final energy (Ry per atom) |
| --- | --- |
| 1 | -0.4979 |
| 2 | -0.2735 |
| 3 | -0.2666 |
| 4 | -0.2234 |
| 5 | -0.6289 |
| 6 | -0.2739 |
| 7 | -0.7263 |
| 8 | -0.4831 |
| 9 | -0.2054 |
| 10 | -0.4287 |
| 11 | -0.5669 |
| 12 | -0.2536 |
| 13 | -0.2657 |
| 14 | -0.3961 |
| 15 | -0.5645 |
| 16 | -0.1857 |
| 17 | -0.5180 |
| 18 | -0.2195 |
| 19 | -0.3999 |
| 20 | -0.2849 |